Computed, not measured: a relaxed structure of Nd2GaPd2Pt5 at the PBE-GGA level of DFT.

Geometry as POSCAR:
```
Nd2GaPd2Pt5
1.0
9.5606 0.0000 0.0000
0.0000 9.5606 0.0000
0.0000 0.0000 4.0988
Nd Ga Pd Pt
4 2 4 10
Direct
0.1713 0.3287 0.0000
0.3287 0.8287 0.0000
0.6713 0.1713 0.0000
0.8287 0.6713 0.0000
0.0000 0.0000 0.0000
0.5000 0.5000 0.0000
0.1289 0.6289 0.0000
0.3711 0.1289 0.0000
0.6289 0.8711 0.0000
0.8711 0.3711 0.0000
0.0000 0.5000 0.5000
0.0553 0.8006 0.5000
0.1994 0.0553 0.5000
0.3006 0.5553 0.5000
0.4447 0.3006 0.5000
0.5000 0.0000 0.5000
0.5553 0.6994 0.5000
0.6994 0.4447 0.5000
0.8006 0.9447 0.5000
0.9447 0.1994 0.5000
```

Computed properties:
**Electronic total energy**: -6.06 eV/atom
**Total magnetic moment**: 0.00 μB per atom
**Symmetry**: No. 127



Computed, not measured: a relaxed structure of NdPuGaPd at the PBE-GGA level of DFT.

Geometry as POSCAR:
```
NdPuGaPd
1.0
7.2447 0.0000 0.0000
0.0000 7.2447 0.0000
0.0000 0.0000 7.2447
Nd Pu Ga Pd
4 4 4 4
Direct
0.0000 0.0000 0.0000
0.0000 0.5000 0.5000
0.5000 0.0000 0.5000
0.5000 0.5000 0.0000
0.0000 0.0000 0.5000
0.0000 0.5000 0.0000
0.5000 0.0000 0.0000
0.5000 0.5000 0.5000
0.2500 0.2500 0.7500
0.2500 0.7500 0.2500
0.7500 0.2500 0.2500
0.7500 0.7500 0.7500
0.2500 0.2500 0.2500
0.2500 0.7500 0.7500
0.7500 0.2500 0.7500
0.7500 0.7500 0.2500
```

Computed properties:
**Electronic total energy**: -7.24 eV/atom
**Total magnetic moment**: 1.39 μB per atom
**Symmetry**: No. 216



Computed, not measured: a relaxed structure of Nd2PuGa4Pd3 at the PBE-GGA level of DFT.

Geometry as POSCAR:
```
Nd2PuGa4Pd3
1.0
4.3123 0.0000 0.0000
0.0000 4.3123 0.0000
0.0000 0.0000 11.4765
Nd Pu Ga Pd
2 1 4 3
Direct
0.0000 0.5000 0.2278
0.5000 0.0000 0.7722
0.0000 0.0000 0.5000
0.0000 0.0000 0.0000
0.0000 0.5000 0.6712
0.5000 0.0000 0.3288
0.5000 0.5000 0.0000
0.0000 0.5000 0.8833
0.5000 0.0000 0.1167
0.5000 0.5000 0.5000
```

Computed properties:
**Electronic total energy**: -5.76 eV/atom
**Total magnetic moment**: 0.58 μB per atom
**Symmetry**: No. 115



Computed, not measured: a relaxed structure of Nd2PuGa3Pd4 at the PBE-GGA level of DFT.

Geometry as POSCAR:
```
Nd2PuGa3Pd4
1.0
4.3400 0.0000 0.0000
0.0000 4.3400 0.0000
0.0000 0.0000 11.1139
Nd Pu Ga Pd
2 1 3 4
Direct
0.0000 0.5000 0.2289
0.5000 0.0000 0.7711
0.0000 0.0000 0.5000
0.0000 0.5000 0.8804
0.5000 0.0000 0.1196
0.5000 0.5000 0.5000
0.0000 0.0000 0.0000
0.0000 0.5000 0.6568
0.5000 0.0000 0.3432
0.5000 0.5000 0.0000
```

Computed properties:
**Electronic total energy**: -6.06 eV/atom
**Total magnetic moment**: 0.56 μB per atom
**Symmetry**: No. 115



Computed, not measured: a relaxed structure of Nd2Ga4PdRh3 at the PBE-GGA level of DFT.

Geometry as POSCAR:
```
Nd2Ga4PdRh3
1.0
4.2876 0.0000 0.0000
0.0000 4.2876 0.0000
0.0000 0.0000 10.2675
Nd Ga Pd Rh
2 4 1 3
Direct
0.0000 0.5000 0.2472
0.5000 0.0000 0.7528
0.0000 0.0000 0.5000
0.0000 0.5000 0.8698
0.5000 0.0000 0.1302
0.5000 0.5000 0.5000
0.5000 0.5000 0.0000
0.0000 0.0000 0.0000
0.0000 0.5000 0.6287
0.5000 0.0000 0.3713
```

Computed properties:
**Electronic total energy**: -5.69 eV/atom
**Total magnetic moment**: 0.00 μB per atom
**Symmetry**: No. 115



Computed, not measured: a relaxed structure of NdGaPdRh at the PBE-GGA level of DFT.

Geometry as POSCAR:
```
NdGaPdRh
1.0
6.6918 0.0000 0.0000
0.0000 6.6918 0.0000
0.0000 0.0000 6.6918
Nd Ga Pd Rh
4 4 4 4
Direct
0.0000 0.0000 0.0000
0.0000 0.5000 0.5000
0.5000 0.0000 0.5000
0.5000 0.5000 0.0000
0.0000 0.0000 0.5000
0.0000 0.5000 0.0000
0.5000 0.0000 0.0000
0.5000 0.5000 0.5000
0.2500 0.2500 0.2500
0.2500 0.7500 0.7500
0.7500 0.2500 0.7500
0.7500 0.7500 0.2500
0.2500 0.2500 0.7500
0.2500 0.7500 0.2500
0.7500 0.2500 0.2500
0.7500 0.7500 0.7500
```

Computed properties:
**Electronic total energy**: -5.71 eV/atom
**Total magnetic moment**: 0.00 μB per atom
**Symmetry**: No. 216



Computed, not measured: a relaxed structure of NdGa3PdRh at the PBE-GGA level of DFT.

Geometry as POSCAR:
```
NdGa3PdRh
1.0
3.9195 -5.5034 0.0000
3.9195 5.5034 0.0000
0.0000 0.0000 5.9410
Nd Ga Pd Rh
2 6 2 2
Direct
0.2495 0.7505 0.7500
0.7505 0.2495 0.2500
0.2438 0.7562 0.2500
0.2479 0.2479 0.0000
0.2479 0.2479 0.5000
0.7521 0.7521 0.0000
0.7521 0.7521 0.5000
0.7562 0.2438 0.7500
0.4610 0.5390 0.2500
0.5390 0.4610 0.7500
0.0304 0.9696 0.2500
0.9696 0.0304 0.7500
```

Computed properties:
**Electronic total energy**: -4.89 eV/atom
**Total magnetic moment**: 0.00 μB per atom
**Symmetry**: No. 63



Computed, not measured: a relaxed structure of Nd2Ga5Pd2Rh at the PBE-GGA level of DFT.

Geometry as POSCAR:
```
Nd2Ga5Pd2Rh
1.0
9.8510 0.0000 0.0000
0.0000 9.8510 0.0000
0.0000 0.0000 3.9511
Nd Ga Pd Rh
4 10 4 2
Direct
0.1871 0.3129 0.0000
0.3129 0.8129 0.0000
0.6871 0.1871 0.0000
0.8129 0.6871 0.0000
0.0000 0.5000 0.5000
0.0446 0.8088 0.5000
0.1912 0.0446 0.5000
0.3088 0.5446 0.5000
0.4554 0.3088 0.5000
0.5000 0.0000 0.5000
0.5446 0.6912 0.5000
0.6912 0.4554 0.5000
0.8088 0.9554 0.5000
0.9554 0.1912 0.5000
0.1121 0.6121 0.0000
0.3879 0.1121 0.0000
0.6121 0.8879 0.0000
0.8879 0.3879 0.0000
0.0000 0.0000 0.0000
0.5000 0.5000 0.0000
```

Computed properties:
**Electronic total energy**: -4.81 eV/atom
**Total magnetic moment**: 0.00 μB per atom
**Symmetry**: No. 127



Computed, not measured: a relaxed structure of NdGa2Pd2Rh at the PBE-GGA level of DFT.

Geometry as POSCAR:
```
NdGa2Pd2Rh
1.0
4.6952 0.0000 0.0000
0.0000 4.6952 0.0000
0.0000 0.0000 5.5156
Nd Ga Pd Rh
1 2 2 1
Direct
0.0000 0.0000 0.0000
0.0000 0.5000 0.5000
0.5000 0.0000 0.5000
0.5000 0.5000 0.2462
0.5000 0.5000 0.7538
0.0000 0.0000 0.5000
```

Computed properties:
**Electronic total energy**: -5.28 eV/atom
**Total magnetic moment**: 0.00 μB per atom
**Symmetry**: No. 123



Computed, not measured: a relaxed structure of NdGa4PdRh2 at the PBE-GGA level of DFT.

Geometry as POSCAR:
```
NdGa4PdRh2
1.0
2.1404 1.2358 8.8128
-2.1404 1.2358 8.8128
0.0000 -2.4715 8.8128
Nd Ga Pd Rh
1 4 1 2
Direct
0.0000 0.0000 0.0000
0.1291 0.1291 0.1291
0.4006 0.4006 0.4006
0.5994 0.5994 0.5994
0.8709 0.8709 0.8709
0.5000 0.5000 0.5000
0.2309 0.2309 0.2309
0.7691 0.7691 0.7691
```

Computed properties:
**Electronic total energy**: -5.27 eV/atom
**Total magnetic moment**: 0.00 μB per atom
**Symmetry**: No. 166



Computed, not measured: a relaxed structure of NdGa4PdRu2 at the PBE-GGA level of DFT.

Geometry as POSCAR:
```
NdGa4PdRu2
1.0
2.1420 1.2367 8.7529
-2.1420 1.2367 8.7529
0.0000 -2.4734 8.7529
Nd Ga Pd Ru
1 4 1 2
Direct
0.0000 0.0000 0.0000
0.1290 0.1290 0.1290
0.4009 0.4009 0.4009
0.5991 0.5991 0.5991
0.8710 0.8710 0.8710
0.5000 0.5000 0.5000
0.2311 0.2311 0.2311
0.7689 0.7689 0.7689
```

Computed properties:
**Electronic total energy**: -5.56 eV/atom
**Total magnetic moment**: 0.00 μB per atom
**Symmetry**: No. 166



Computed, not measured: a relaxed structure of Nd2Ga4Pd3Ru at the PBE-GGA level of DFT.

Geometry as POSCAR:
```
Nd2Ga4Pd3Ru
1.0
4.3583 0.0000 0.0000
0.0000 4.3583 0.0000
0.0000 0.0000 10.1258
Nd Ga Pd Ru
2 4 3 1
Direct
0.0000 0.5000 0.2401
0.5000 0.0000 0.7599
0.0000 0.0000 0.5000
0.0000 0.5000 0.8760
0.5000 0.0000 0.1240
0.5000 0.5000 0.5000
0.0000 0.0000 0.0000
0.0000 0.5000 0.6295
0.5000 0.0000 0.3705
0.5000 0.5000 0.0000
```

Computed properties:
**Electronic total energy**: -5.38 eV/atom
**Total magnetic moment**: 0.00 μB per atom
**Symmetry**: No. 115



What is the formula in the first record?
Nd2GaPd2Pt5